[1]
CaSnS2 | Alexandria via LeMat-Bulk | PBE-GGA | optimized geometry; D(E_F) = 0.885 states/eV/f.u.; uncorrected formation energy = -0.826 eV per atom; symmetry = R-3m
1.0
2.0477 1.1822 7.9832
-2.0477 1.1822 7.9832
0.0000 -2.3645 7.9832
Ca Sn S
1 1 2
Direct
0.0000 0.0000 0.0000 Ca
0.5000 0.5000 0.5000 Sn
0.3951 0.3951 0.3951 S
0.6049 0.6049 0.6049 S



[2]
Sr2Ga6PdRu | Alexandria via LeMat-Bulk | PBE-GGA | optimized geometry; D(E_F) = 4.931 states/eV/f.u.; symmetry = P-1; DFT formation energy = -420 meV per atom
1.0
6.0135 0.0000 0.0000
2.9978 6.0955 0.0000
3.0014 1.3668 6.0468
Sr Ga Pd Ru
2 6 1 1
Direct
0.2503 0.1610 0.3381 Sr
0.7497 0.8390 0.6619 Sr
0.1952 0.3065 0.7882 Ga
0.2519 0.6585 0.8385 Ga
0.2906 0.6933 0.2111 Ga
0.7094 0.3067 0.7889 Ga
0.7481 0.3415 0.1615 Ga
0.8048 0.6935 0.2118 Ga
0.0000 0.0000 0.0000 Pd
0.5000 0.5000 0.5000 Ru



[3]
Hf2PaSe | Alexandria via LeMat-Bulk | PBE-GGA | optimized geometry; energy above the most stable polymorph in this dataset = 0.0 kJ/mol of formula units; D(E_F) = 5.272 states/eV/f.u.; uncorrected formation energy = -0.398 eV per atom; symmetry = R3m
1.0
1.6662 0.9620 9.2492
-1.6662 0.9620 9.2492
0.0000 -1.9240 9.2492
Hf Pa Se
2 1 1
Direct
0.0000 0.0000 0.0000 Hf
0.1904 0.1904 0.1904 Hf
0.7624 0.7624 0.7624 Pa
0.5948 0.5948 0.5948 Se



[4]
CdRe2W | Alexandria via LeMat-Bulk | PBE-GGA | optimized geometry; D(E_F) = 2.818 states/eV/f.u.; symmetry = Cmm2; DFT formation energy = 431 meV per atom
1.0
1.5401 -2.2737 0.0000
1.5401 2.2737 0.0000
0.0000 0.0000 9.4728
Cd Re W
1 2 1
Direct
0.0000 0.0000 0.0000 Cd
0.0000 0.0000 0.5027 Re
0.5000 0.5000 0.7318 Re
0.5000 0.5000 0.2700 W



[5]
Pr2RhN | Alexandria via LeMat-Bulk | PBE-GGA | optimized geometry; D(E_F) = 2.440 states/eV/f.u.; uncorrected formation energy = -0.754 eV per atom; symmetry = R-3m
1.0
1.8411 1.0630 7.1169
-1.8411 1.0630 7.1169
0.0000 -2.1260 7.1169
Pr Rh N
2 1 1
Direct
0.2362 0.2362 0.2362 Pr
0.7638 0.7638 0.7638 Pr
0.0000 0.0000 0.0000 Rh
0.5000 0.5000 0.5000 N



[6]
TaAsIO2 | Alexandria via LeMat-Bulk | PBE-GGA | optimized geometry; energy above the most stable polymorph in this dataset = 0.0 kJ/mol of formula units; D(E_F) = 2.234 states/eV/f.u.; uncorrected formation energy = -0.943 eV per atom; symmetry = P4/mmm
1.0
3.9507 0.0000 0.0000
0.0000 3.9507 0.0000
0.0000 0.0000 6.3787
Ta As I O
1 1 1 2
Direct
0.0000 0.0000 0.0000 Ta
0.5000 0.5000 0.5000 As
0.0000 0.0000 0.5000 I
0.0000 0.5000 0.0000 O
0.5000 0.0000 0.0000 O